[1]
A relaxed structure of LaY2Co. Source: Alexandria, functional PBE.

Cell: 5.181 5.181 5.181 Å, 60.00 60.00 60.00°
Positions (direct):
Y 0.750 0.750 0.750
Y 0.250 0.250 0.250
Co 0.000 0.000 0.000
La 0.500 0.500 0.500

Properties
N(E_F) = 9.8 states/eV/f.u.
SG = Fm-3m (225)
magnetic moment = 0.0 μB per formula unit
offset from the most stable computed form = 489 meV per atom
energy of formation from the pure elements = 0.34 eV/atom

***

[2]
A relaxed structure of Ac2Tb6Sm5. Source: Alexandria, functional PBE.

Cell: 3.672 12.012 20.644 Å, 90.00 90.00 90.00°
Positions (direct):
Tb 0.500 0.683 0.880
Tb 0.500 0.183 0.620
Tb 0.500 0.317 0.120
Tb 0.000 0.060 0.074
Tb 0.500 0.817 0.380
Tb 0.000 0.572 0.138
Tb 0.000 0.440 0.574
Tb 0.000 0.928 0.638
Tb 0.000 0.072 0.362
Tb 0.000 0.940 0.926
Tb 0.000 0.428 0.862
Tb 0.000 0.560 0.426
Sm 0.500 0.095 0.216
Sm 0.500 0.500 0.000
Sm 0.500 0.000 0.500
Sm 0.500 0.201 0.947
Sm 0.500 0.595 0.284
Sm 0.500 0.299 0.447
Sm 0.500 0.701 0.553
Sm 0.500 0.405 0.716
Sm 0.500 0.905 0.784
Sm 0.500 0.799 0.053
Ac 0.000 0.665 0.722
Ac 0.000 0.165 0.778
Ac 0.000 0.335 0.278
Ac 0.000 0.835 0.222

Properties
N(E_F) = 17.8 states/eV/f.u.
SG = Pbam (55)
magnetic moment = 0.0 μB per formula unit
energy of formation from the pure elements = 0.11 eV/atom

***

[3]
A relaxed structure of FeCo2Ni3. Source: Alexandria, functional PBE.

Cell: 5.397 5.397 5.398 Å, 89.81 89.81 89.81°
Positions (direct):
Fe 0.751 0.751 0.751
Fe 0.249 0.249 0.249
Co 0.000 0.500 0.500
Co 0.500 0.500 0.000
Co 0.500 0.000 0.500
Co 0.000 0.000 0.000
Ni 0.250 0.749 0.749
Ni 0.750 0.251 0.251
Ni 0.251 0.251 0.750
Ni 0.749 0.749 0.250
Ni 0.251 0.750 0.251
Ni 0.749 0.250 0.749

Properties
N(E_F) = 7.4 states/eV/f.u.
SG = R-3m (166)
magnetic moment = 8.3 μB per formula unit
offset from the most stable computed form = 490 meV per atom
energy of formation from the pure elements = 0.49 eV/atom

***

> Which of these has the lowest energy of formation from the pure elements?

Ac2Tb6Sm5

***

Copy entry 3 word for word.
A relaxed structure of FeCo2Ni3. Source: Alexandria, functional PBE.

Cell: 5.397 5.397 5.398 Å, 89.81 89.81 89.81°
Positions (direct):
Fe 0.751 0.751 0.751
Fe 0.249 0.249 0.249
Co 0.000 0.500 0.500
Co 0.500 0.500 0.000
Co 0.500 0.000 0.500
Co 0.000 0.000 0.000
Ni 0.250 0.749 0.749
Ni 0.750 0.251 0.251
Ni 0.251 0.251 0.750
Ni 0.749 0.749 0.250
Ni 0.251 0.750 0.251
Ni 0.749 0.250 0.749

Properties
N(E_F) = 7.4 states/eV/f.u.
SG = R-3m (166)
magnetic moment = 8.3 μB per formula unit
offset from the most stable computed form = 490 meV per atom
energy of formation from the pure elements = 0.49 eV/atom

***

> Which of these has the lowest N(E_F)?

FeCo2Ni3

***

> What is the N(E_F) in the first record?

9.8 states/eV/f.u.